1.
Computed, not measured: a relaxed KLi4Mg crystal at the PBE level of DFT.

The value obtained for the formation enthalpy at 0 K is 105 meV/atom. For the density of states at the Fermi level, the calculation gives 11.2 states/eV/cell.

Unit cell a=8.6334 b=8.6334 c=8.6334 alpha=90.00 beta=90.00 gamma=90.00
Space group F-43m (No. 216)
Inequivalent atoms, fractional coordinates:
K: 0.0000 0.0000 0.0000 [4 per cell]
Li: 0.1225 0.1225 0.6225 [16 per cell]
Mg: 0.2500 0.2500 0.2500 [4 per cell]


2.
Computed, not measured: a relaxed PmPtPb2 crystal at the PBE level of DFT.

Its energy above the most stable polymorph in this dataset is 0.421 eV per atom. The value obtained for the formation enthalpy at 0 K is -3 meV/atom. For the density of states at the Fermi level, the calculation gives 10.6 states/eV/cell.

Unit cell a=3.6497 b=3.6497 c=30.7425 alpha=90.00 beta=90.00 gamma=120.00
Space group R-3m (No. 166, hexagonal axes)
Inequivalent atoms, fractional coordinates:
Pm: 0.0000 0.0000 0.0000 [3 per cell]
Pt: 0.0000 0.0000 0.5000 [3 per cell]
Pb: 0.0000 0.0000 0.1051 [6 per cell]